Record 1
{
  "formula": "TaNb2AgN",
  "functional": "PBE",
  "state": "relaxed",
  "lattice": [[4.313, 0.000, 0.000], [0.000, 4.313, 0.000], [0.000, 0.000, 4.194]],
  "species": ["Ta", "Nb", "Nb", "Ag", "N"],
  "fractional_positions": [[0.000, 0.000, 0.500], [0.500, 0.000, 0.000], [0.000, 0.500, 0.000], [0.500, 0.500, 0.500], [0.000, 0.000, 0.000]],
  "raw_formation_energy_mev_per_atom": -311,
  "sg": "P4/mmm (123)",
  "n_ef_per_ev_atom": 0.7602,
  "energy_ev_per_atom": -8.94
}

---

Record 2
{
  "formula": "NaFeOsAu2",
  "functional": "PBE",
  "state": "relaxed",
  "lattice": [[4.601, 0.000, 0.000], [0.000, 4.429, 0.000], [0.000, 0.000, 4.601]],
  "species": ["Os", "Fe", "Au", "Au", "Na"],
  "fractional_positions": [[0.500, 0.500, 0.500], [0.000, 0.500, 0.000], [0.000, 0.000, 0.500], [0.500, 0.000, 0.000], [0.000, 0.000, 0.000]],
  "sg": "P4/mmm (123)",
  "n_ef_per_ev_atom": 0.9295,
  "e_form_ev_per_atom": 1.89,
  "energy_ev_per_atom": -3.62
}

---

Record 3
{
  "formula": "Pa3Ga4Pd2",
  "functional": "PBE",
  "state": "relaxed",
  "lattice": [[4.200, 0.000, 0.000], [2.100, 7.446, 0.453], [2.100, 3.660, 6.500]],
  "species": ["Pa", "Pa", "Pa", "Pd", "Pd", "Ga", "Ga", "Ga", "Ga"],
  "fractional_positions": [[0.395, 0.105, 0.105], [0.500, 0.500, 0.500], [0.605, 0.895, 0.895], [0.000, 0.231, 0.769], [0.000, 0.769, 0.231], [0.193, 0.499, 0.116], [0.807, 0.884, 0.501], [0.807, 0.501, 0.884], [0.193, 0.116, 0.499]],
  "sg": "Immm (71)",
  "polymorph_energy_mev_per_atom": 225.6,
  "n_ef_per_ev_atom": 0.9818,
  "e_form_ev_per_atom": -0.28,
  "energy_ev_per_atom": -5.95
}

---

Record 4
{
  "formula": "AsIr3",
  "functional": "PBE",
  "state": "relaxed",
  "lattice": [[-1.247, 3.582, 7.761], [-1.243, 0.831, 8.507], [1.220, 2.242, 8.252]],
  "species": ["As", "Ir", "Ir", "Ir"],
  "fractional_positions": [[0.000, 0.000, 0.000], [0.253, 0.253, 0.253], [0.500, 0.500, 0.500], [0.747, 0.747, 0.747]],
  "sg": "R-3m (166)",
  "polymorph_energy_mev_per_atom": 105.6,
  "n_ef_per_ev_atom": 1.1129,
  "e_form_ev_per_atom": 0.18,
  "energy_ev_per_atom": -7.63
}

---

Record 5
{
  "formula": "V2ZnCo2",
  "functional": "PBE",
  "state": "relaxed",
  "lattice": [[-4.302, 5.181, 1.123], [-5.064, -4.444, 1.104], [0.616, -0.054, 2.609]],
  "species": ["V", "V", "V", "V", "Co", "Co", "Co", "Co", "Zn", "Zn"],
  "fractional_positions": [[0.333, 0.167, 0.500], [0.667, 0.833, 0.500], [0.833, 0.333, 0.500], [0.167, 0.667, 0.500], [0.629, 0.129, 0.000], [0.371, 0.871, 0.000], [0.871, 0.629, 0.000], [0.129, 0.371, 0.000], [0.500, 0.500, 0.000], [0.000, 0.000, 0.000]],
  "sg": "P4/mbm (127)",
  "n_ef_per_ev_atom": 0.7155,
  "e_form_ev_per_atom": -0.11,
  "energy_ev_per_atom": -6.85
}

---

Record 6
{
  "formula": "Li4Ac2Si3Ge",
  "functional": "PBE",
  "state": "relaxed",
  "lattice": [[4.420, 0.000, 0.000], [0.000, 4.420, 0.000], [0.000, 0.000, 10.479]],
  "species": ["Si", "Si", "Si", "Ac", "Ac", "Li", "Li", "Li", "Li", "Ge"],
  "fractional_positions": [[0.000, 0.000, 0.500], [0.500, 0.000, 0.873], [0.000, 0.500, 0.127], [0.000, 0.500, 0.754], [0.500, 0.000, 0.246], [0.000, 0.500, 0.371], [0.000, 0.000, 0.000], [0.500, 0.500, 0.000], [0.500, 0.000, 0.629], [0.500, 0.500, 0.500]],
  "raw_formation_energy_mev_per_atom": -377,
  "sg": "P-4m2 (115)",
  "n_ef_per_ev_atom": 0.5590,
  "energy_ev_per_atom": -4.05
}

---

Record 7
{
  "formula": "TaTcIr3",
  "functional": "PBE",
  "state": "relaxed",
  "lattice": [[4.637, 0.000, 0.000], [0.000, 4.637, 0.000], [0.000, 0.000, 4.637]],
  "species": ["Tc", "Ir", "Ir", "Ir", "Ta"],
  "fractional_positions": [[0.000, 0.000, 0.000], [0.000, 0.500, 0.000], [0.500, 0.000, 0.000], [0.000, 0.000, 0.500], [0.500, 0.500, 0.500]],
  "sg": "Pm-3m (221)",
  "polymorph_energy_mev_per_atom": 2001.1,
  "n_ef_per_ev_atom": 1.9707,
  "e_form_ev_per_atom": 1.70,
  "energy_ev_per_atom": -8.06
}

---

Record 8
{
  "formula": "Th4C2O",
  "functional": "PBE",
  "state": "relaxed",
  "lattice": [[3.649, 0.000, 0.530], [1.786, 3.182, 0.530], [0.054, 0.032, 12.447]],
  "species": ["Th", "Th", "Th", "Th", "O", "C", "C"],
  "fractional_positions": [[0.880, 0.880, 0.361], [0.293, 0.293, 0.122], [0.120, 0.120, 0.639], [0.707, 0.707, 0.878], [0.000, 0.000, 0.000], [0.585, 0.585, 0.246], [0.415, 0.415, 0.754]],
  "raw_formation_energy_mev_per_atom": -1014,
  "sg": "R-3m (166)",
  "n_ef_per_ev_atom": 0.7615,
  "energy_ev_per_atom": -8.60
}

---

Record 9
{
  "formula": "BaReRh2",
  "functional": "PBE",
  "state": "relaxed",
  "lattice": [[5.095, 0.000, 0.000], [0.000, 5.095, 0.000], [0.000, 0.000, 2.933]],
  "species": ["Re", "Rh", "Rh", "Ba"],
  "fractional_positions": [[0.000, 0.000, 0.500], [0.500, 0.000, 0.000], [0.000, 0.500, 0.000], [0.500, 0.500, 0.500]],
  "sg": "P4/mmm (123)",
  "polymorph_energy_mev_per_atom": 601.5,
  "n_ef_per_ev_atom": 1.1988,
  "e_form_ev_per_atom": 0.77,
  "energy_ev_per_atom": -6.50
}

---

Record 10
{
  "formula": "LaTh4Bi5",
  "functional": "PBE",
  "state": "relaxed",
  "lattice": [[5.877, 0.000, 2.835], [2.938, 7.299, 1.417], [-0.233, 0.000, 7.992]],
  "species": ["La", "Bi", "Bi", "Bi", "Bi", "Bi", "Th", "Th", "Th", "Th"],
  "fractional_positions": [[0.002, 0.000, 0.000], [0.304, 0.797, 0.597], [0.698, 0.203, 0.403], [0.101, 0.597, 0.203], [0.901, 0.403, 0.797], [0.502, 0.000, 0.000], [0.603, 0.599, 0.197], [0.399, 0.401, 0.803], [0.202, 0.197, 0.401], [0.800, 0.803, 0.599]],
  "sg": "I4 (79)",
  "n_ef_per_ev_atom": 0.8024,
  "e_form_ev_per_atom": -0.66,
  "energy_ev_per_atom": -6.06
}

---

Record 11
{
  "formula": "Ba6TlIrAu2",
  "functional": "PBE",
  "state": "relaxed",
  "lattice": [[8.261, 0.001, 0.001], [4.131, 7.155, 0.000], [4.131, 2.385, 7.629]],
  "species": ["Ir", "Ba", "Ba", "Ba", "Ba", "Ba", "Ba", "Au", "Au", "Tl"],
  "fractional_positions": [[0.332, 0.332, 0.004], [0.556, 0.272, 0.233], [0.387, 0.729, 0.767], [0.729, 0.117, 0.767], [0.939, 0.556, 0.233], [0.117, 0.387, 0.767], [0.273, 0.939, 0.232], [0.989, 0.989, 0.032], [0.506, 0.507, 0.480], [0.834, 0.833, 0.500]],
  "sg": "R3 (146)",
  "n_ef_per_ev_atom": 0.6291,
  "e_form_ev_per_atom": -0.38,
  "energy_ev_per_atom": -3.32
}

---

Record 12
{
  "formula": "AcReTc2O8",
  "functional": "PBE",
  "state": "relaxed",
  "lattice": [[-2.121, 3.001, 3.250], [-1.821, -3.763, 2.564], [5.329, -0.129, 3.596]],
  "species": ["Re", "Ac", "O", "O", "O", "O", "O", "O", "O", "O", "Tc", "Tc"],
  "fractional_positions": [[0.000, 0.000, 0.000], [0.000, 0.000, 0.500], [0.783, 0.217, 0.801], [0.285, 0.284, 0.000], [0.217, 0.783, 0.199], [0.340, 0.339, 0.500], [0.217, 0.783, 0.801], [0.783, 0.217, 0.199], [0.660, 0.661, 0.500], [0.715, 0.716, 0.000], [0.500, 0.500, 0.767], [0.500, 0.500, 0.233]],
  "raw_formation_energy_mev_per_atom": -1719,
  "sg": "Cmmm (65)",
  "n_ef_per_ev_atom": 0.4827,
  "energy_ev_per_atom": -8.13
}